Material: Pu3AsSe6
Method: DFT, PBE
State: optimized geometry

Values from the calculation:
- formation energy without anion corrections (eV per atom) = -1.0910
- E_tot (eV/cell) = -158.925

Unit cell a=8.890 b=8.890 c=6.957 alpha=90.00 beta=90.00 gamma=102.83
Element x y z (fractional)
Pu  0.100  0.900  0.500
Pu  0.220  0.418  0.599
Pu  0.418  0.220  0.099
Pu  0.582  0.780  0.599
Pu  0.780  0.582  0.099
Pu  0.900  0.100  0.000
As  0.323  0.677  0.118
As  0.677  0.323  0.618
Se  0.075  0.596  0.301
Se  0.132  0.195  0.299
Se  0.195  0.132  0.799
Se  0.266  0.734  0.763
Se  0.404  0.925  0.301
Se  0.493  0.507  0.359
Se  0.507  0.493  0.859
Se  0.596  0.075  0.801
Se  0.734  0.266  0.263
Se  0.805  0.868  0.299
Se  0.868  0.805  0.799
Se  0.925  0.404  0.801

=====

Material: Na2Ga7Au12
Method: DFT, PBE
State: optimized geometry

Values from the calculation:
- ΔH_f (0 K) (meV per atom) = -224
- E_tot (eV/cell) = -67.868

Unit cell a=4.280 b=10.467 c=10.510 alpha=61.51 beta=84.61 gamma=87.71
Element x y z (fractional)
Na  0.237  0.178  0.167
Na  0.763  0.822  0.833
Ga  0.232  0.616  0.087
Ga  0.295  0.787  0.596
Ga  0.301  0.089  0.786
Ga  0.500  0.500  0.500
Ga  0.699  0.911  0.214
Ga  0.705  0.213  0.404
Ga  0.768  0.384  0.913
Au  0.179  0.746  0.369
Au  0.191  0.389  0.356
Au  0.210  0.046  0.570
Au  0.243  0.883  0.049
Au  0.274  0.574  0.867
Au  0.286  0.347  0.778
Au  0.714  0.653  0.222
Au  0.726  0.426  0.133
Au  0.757  0.117  0.951
Au  0.790  0.954  0.430
Au  0.809  0.611  0.644
Au  0.821  0.254  0.631

=====

Material: AgSbTe2
Method: DFT, PBE
State: optimized geometry

Values from the calculation:
- formation energy without anion corrections (eV per atom) = 0.0963
- E_tot (eV/cell) = -12.872

Unit cell a=6.867 b=6.867 c=6.867 alpha=144.69 beta=141.16 gamma=53.49
Element x y z (fractional)
Ag  0.000  0.000  0.000
Sb  0.500  0.500  0.000
Te  0.171  0.671  0.500
Te  0.829  0.329  0.500

=====

Material: LaGa4Ru3
Method: DFT, PBE
State: optimized geometry

Values from the calculation:
- ΔH_f (0 K) (meV per atom) = -241
- E_tot (eV/cell) = -93.586

Unit cell a=8.874 b=6.851 c=4.446 alpha=90.00 beta=90.00 gamma=90.00
Element x y z (fractional)
La  0.000  0.000  0.000
La  0.500  0.000  0.000
Ga  0.000  0.297  0.500
Ga  0.000  0.703  0.500
Ga  0.250  0.298  0.023
Ga  0.250  0.702  0.023
Ga  0.500  0.297  0.500
Ga  0.500  0.703  0.500
Ga  0.750  0.298  0.977
Ga  0.750  0.702  0.977
Ru  0.000  0.500  0.000
Ru  0.250  0.000  0.463
Ru  0.250  0.500  0.520
Ru  0.500  0.500  0.000
Ru  0.750  0.000  0.537
Ru  0.750  0.500  0.480

=====

Material: Ba2Au
Method: DFT, PBE
State: optimized geometry

Values from the calculation:
- ΔH_f (0 K) (meV per atom) = -513
- E_tot (eV/cell) = -34.644

Unit cell a=9.539 b=9.539 c=9.539 alpha=119.94 beta=119.94 gamma=90.11
Element x y z (fractional)
Ba  0.225  0.488  0.737
Ba  0.237  0.000  0.237
Ba  0.238  0.000  0.763
Ba  0.238  0.475  0.237
Ba  0.750  0.013  0.263
Ba  0.750  0.487  0.737
Ba  0.750  0.488  0.263
Ba  0.763  0.000  0.763
Au  0.494  0.244  0.250
Au  0.994  0.244  0.250
Au  0.994  0.244  0.750
Au  0.994  0.744  0.750

=====

Material: Pr8GeS3Br4
Method: DFT, PBE
State: optimized geometry

Values from the calculation:
- formation energy without anion corrections (eV per atom) = -1.5116
- E_tot (eV/cell) = -86.112

Unit cell a=8.846 b=8.846 c=8.846 alpha=56.21 beta=56.21 gamma=56.21
Element x y z (fractional)
Pr  0.224  0.740  0.740
Pr  0.232  0.232  0.232
Pr  0.260  0.260  0.776
Pr  0.260  0.776  0.260
Pr  0.740  0.224  0.740
Pr  0.740  0.740  0.224
Pr  0.768  0.768  0.768
Pr  0.776  0.260  0.260
Ge  0.500  0.500  0.500
S  0.000  0.000  0.500
S  0.000  0.500  0.000
S  0.500  0.000  0.000
Br  0.000  0.000  0.000
Br  0.000  0.500  0.500
Br  0.500  0.000  0.500
Br  0.500  0.500  0.000

=====

Material: Ba3AsSe
Method: DFT, PBE
State: optimized geometry

Values from the calculation:
- formation energy without anion corrections (eV per atom) = -0.8409
- offset from the most stable computed form (eV/atom) = 0.0000
- E_tot (eV/cell) = -18.107

Unit cell a=6.108 b=6.108 c=6.108 alpha=90.00 beta=90.00 gamma=90.00
Element x y z (fractional)
Ba  0.000  0.000  0.500
Ba  0.000  0.500  0.000
Ba  0.500  0.000  0.000
As  0.500  0.500  0.500
Se  0.000  0.000  0.000

=====

Material: ZnCu2Si
Method: DFT, PBE
State: optimized geometry

Values from the calculation:
- formation energy without anion corrections (eV per atom) = 0.0469
- E_tot (eV/cell) = -14.702

Unit cell a=4.473 b=4.473 c=4.247 alpha=101.86 beta=101.86 gamma=39.49
Element x y z (fractional)
Zn  0.000  0.000  0.000
Cu  0.500  0.500  0.498
Cu  0.749  0.749  0.224
Si  0.242  0.242  0.704